# 1
First-principles (GGA-PBE) data for a geometry-optimized BeGa2Cu5 structure, as listed in OQMD via LeMat-Bulk.

a = 4.088 Å, b = 4.088 Å, c = 5.808 Å
α = 90.00°, β = 90.00°, γ = 90.00°
Element x y z (fractional)
Be (0.000, 0.000, 0.000)
Ga (0.000, 0.000, 0.500)
Ga (0.500, 0.500, 0.000)
Cu (0.000, 0.500, 0.237)
Cu (0.000, 0.500, 0.763)
Cu (0.500, 0.000, 0.237)
Cu (0.500, 0.000, 0.763)
Cu (0.500, 0.500, 0.500)

Results
- space group = P4/mmm (123)
- total energy (eV for the cell shown) = -28.85

# 2
First-principles (GGA-PBE) data for a geometry-optimized LiInNiMo structure, as listed in OQMD via LeMat-Bulk.

a = 6.149 Å, b = 6.149 Å, c = 6.149 Å
α = 90.00°, β = 90.00°, γ = 90.00°
Element x y z (fractional)
Li (0.000, 0.000, 0.000)
Li (0.000, 0.500, 0.500)
Li (0.500, 0.000, 0.500)
Li (0.500, 0.500, 0.000)
In (0.250, 0.250, 0.250)
In (0.250, 0.750, 0.750)
In (0.750, 0.250, 0.750)
In (0.750, 0.750, 0.250)
Ni (0.000, 0.000, 0.500)
Ni (0.000, 0.500, 0.000)
Ni (0.500, 0.000, 0.000)
Ni (0.500, 0.500, 0.500)
Mo (0.250, 0.250, 0.750)
Mo (0.250, 0.750, 0.250)
Mo (0.750, 0.250, 0.250)
Mo (0.750, 0.750, 0.750)

Results
- space group = F-43m (216)
- energy above the most stable polymorph in this dataset (eV/atom) = 0.000

# 3
First-principles (GGA-PBE) data for a geometry-optimized PrErO3 structure, as listed in OQMD via LeMat-Bulk.

a = 6.145 Å, b = 6.145 Å, c = 6.145 Å
α = 57.35°, β = 57.35°, γ = 57.35°
Element x y z (fractional)
Pr (0.134, 0.134, 0.134)
Pr (0.866, 0.866, 0.866)
Er (0.354, 0.354, 0.354)
Er (0.646, 0.646, 0.646)
O (0.047, 0.467, 0.728)
O (0.272, 0.953, 0.533)
O (0.467, 0.728, 0.047)
O (0.533, 0.272, 0.953)
O (0.728, 0.047, 0.467)
O (0.953, 0.533, 0.272)

Results
- space group = R-3 (148)
- total energy (eV for the cell shown) = -82.58